*A*
Y2OsI2 (PBE, optimized geometry); calculated density = 6.9 Mg/m³; volume = 30.02 A^3/atom; SG = No. 127; crystal system = tetragonal
1.0
7.570 0.000 0.000
0.000 7.570 0.000
0.000 0.000 5.238
Y Os I
4 2 4
Direct
0.177 0.323 0.000
0.323 0.823 0.000
0.677 0.177 0.000
0.823 0.677 0.000
0.000 0.000 0.000
0.500 0.500 0.000
0.164 0.664 0.500
0.336 0.164 0.500
0.664 0.836 0.500
0.836 0.336 0.500



*B*
Y2OsI2 (PBE, optimized geometry); calculated density = 6.9 Mg/m³; volume = 30.06 A^3/atom; SG = No. 139; crystal system = tetragonal
1.0
-2.229 2.229 7.560
2.229 -2.229 7.560
2.229 2.229 -7.560
Y Os I
2 1 2
Direct
0.103 0.103 0.000
0.897 0.897 0.000
0.500 0.500 0.000
0.250 0.750 0.500
0.750 0.250 0.500



Which is less stable than every other structure shown? *B* is.